Run one
A geometry-optimized Ca3AlHg structure. Source: the Alexandria database, functional GGA-PBE.

Unit cell a=5.3587 b=5.3577 c=10.6750 alpha=90.00 beta=75.46 gamma=90.00
Sites, in units of the cell vectors:
Ca: 0.7533 0.2500 0.1417
Ca: 0.8950 0.7500 0.8583
Ca: 0.3964 0.2500 0.8556
Ca: 0.2520 0.7500 0.1444
Ca: 0.0738 0.7500 0.5007
Ca: 0.5745 0.2500 0.4993
Al: 0.6667 0.7500 0.3150
Al: 0.9817 0.2500 0.6850
Hg: 0.1662 0.2500 0.3160
Hg: 0.4822 0.7500 0.6840

Output
- Crystal system: orthorhombic
- Calculated density: 3.9 g/cm3
- M_tot: 0.000 μB/f.u.
- Space group: No. 63

***

Run two
A geometry-optimized Ca3AlHg structure. Source: the Alexandria database, functional GGA-PBE.

Unit cell a=5.8653 b=5.8653 c=5.8653 alpha=90.00 beta=90.00 gamma=90.00
Sites, in units of the cell vectors:
Al: 0.0000 0.0000 0.0000
Ca: 0.0000 0.5000 0.0000
Ca: 0.5000 0.0000 0.0000
Ca: 0.0000 0.0000 0.5000
Hg: 0.5000 0.5000 0.5000

Output
- Crystal system: cubic
- Calculated density: 2.9 g/cm3
- M_tot: 0.000 μB/f.u.
- Space group: No. 221

***

Tell me which of them is the least stable. Sure, it is run two.

***

Run one
A geometry-optimized Ca2Al2Hg structure. Source: the Alexandria database, functional GGA-PBE.

Unit cell a=8.8307 b=8.8307 c=3.6659 alpha=90.00 beta=90.00 gamma=90.00
Sites, in units of the cell vectors:
Ca: 0.8124 0.6876 0.0000
Ca: 0.6876 0.1876 0.0000
Ca: 0.3124 0.8124 0.0000
Ca: 0.1876 0.3124 0.0000
Al: 0.1027 0.6027 0.5000
Al: 0.8973 0.3973 0.5000
Al: 0.6027 0.8973 0.5000
Al: 0.3973 0.1027 0.5000
Hg: 0.0000 0.0000 0.0000
Hg: 0.5000 0.5000 0.0000

Output
- Crystal system: tetragonal
- Calculated density: 3.9 g/cm3
- M_tot: 0.000 μB/f.u.
- Space group: No. 127

***

Run two
A geometry-optimized Ca2Al2Hg structure. Source: the Alexandria database, functional GGA-PBE.

Unit cell a=4.7268 b=4.7268 c=7.3341 alpha=71.20 beta=71.20 gamma=90.00
Sites, in units of the cell vectors:
Hg: 0.0000 0.0000 0.0000
Ca: 0.2500 0.7500 0.5000
Ca: 0.7500 0.2500 0.5000
Al: 0.5933 0.5933 0.8135
Al: 0.4067 0.4067 0.1865

Output
- Crystal system: tetragonal
- Calculated density: 3.8 g/cm3
- M_tot: 0.000 μB/f.u.
- Space group: No. 139

***

Tell me which of them is the least stable. Sure, it is run two.

***

Run one
A geometry-optimized CaPmAlHg structure. Source: the Alexandria database, functional GGA-PBE.

Unit cell a=3.6809 b=3.6809 c=7.8107 alpha=90.00 beta=90.00 gamma=90.00
Sites, in units of the cell vectors:
Hg: 0.5000 0.5000 0.6115
Pm: 0.0000 0.0000 0.3482
Ca: 0.0000 0.0000 0.8601
Al: 0.5000 0.5000 0.1081

Output
- Crystal system: tetragonal
- Calculated density: 6.5 g/cm3
- M_tot: 0.000 μB/f.u.
- Space group: No. 99

***

Run two
A geometry-optimized CaPmAlHg structure. Source: the Alexandria database, functional GGA-PBE.

Unit cell a=5.3253 b=5.3253 c=5.3253 alpha=60.00 beta=60.00 gamma=60.00
Sites, in units of the cell vectors:
Ca: 0.2500 0.2500 0.2500
Pm: 0.7500 0.7500 0.7500
Hg: 0.0000 0.0000 0.0000
Al: 0.5000 0.5000 0.5000

Output
- Crystal system: cubic
- Calculated density: 6.4 g/cm3
- M_tot: 0.000 μB/f.u.
- Space group: No. 216

***

Tell me which of them is the least stable. Sure, it is run two.